This record from Alexandria describes an optimized crystal structure of CsTiZnS3. The functional is PBE.

```
data_CsTiZnS3
_chemical_formula_sum 'Cs2 Ti2 Zn2 S6'
_cell_length_a 3.7674
_cell_length_b 9.9296
_cell_length_c 8.0323
_cell_angle_alpha 90.00
_cell_angle_beta 103.56
_cell_angle_gamma 90.00
_space_group_name_H-M_alt 'P 1 21/m 1'
_space_group_IT_number 11
_space_group_name_Hall '-P 2yb'
loop_
_atom_site_label
_atom_site_fract_x
_atom_site_fract_y
_atom_site_fract_z
Cs1 0.2440 0.2500 0.4872
Ti1 0.5000 0.0000 0.0000
Zn1 0.0356 0.7500 0.0715
S1 0.1058 0.5462 0.2119
S2 0.4459 0.7500 0.8917
```

Results
Calculated total energy = -58.2 eV per cell
Density of states at the Fermi level = 3.7 states/eV/f.u.
Crystal system = monoclinic



This record from Alexandria describes an optimized crystal structure of ZrIr3O. The functional is PBE.

```
data_ZrIr3O
_chemical_formula_sum 'Zr1 Ir3 O1'
_cell_length_a 4.2170
_cell_length_b 4.2170
_cell_length_c 4.2170
_cell_angle_alpha 90.00
_cell_angle_beta 90.00
_cell_angle_gamma 90.00
_space_group_name_H-M_alt 'P m -3 m'
_space_group_IT_number 221
_space_group_name_Hall '-P 4 2 3'
loop_
_atom_site_label
_atom_site_fract_x
_atom_site_fract_y
_atom_site_fract_z
Zr1 0.0000 0.0000 0.0000
Ir1 0.0000 0.5000 0.5000
O1 0.5000 0.5000 0.5000
```

Results
Calculated total energy = -39.4 eV per cell
Density of states at the Fermi level = 6.3 states/eV/f.u.
Crystal system = cubic



This record from Alexandria describes an optimized crystal structure of Ti4C3N. The functional is PBE.

```
data_Ti4C3N
_chemical_formula_sum 'Ti4 C3 N1'
_cell_length_a 4.3126
_cell_length_b 4.3126
_cell_length_c 4.3126
_cell_angle_alpha 90.00
_cell_angle_beta 90.00
_cell_angle_gamma 90.00
_space_group_name_H-M_alt 'P m -3 m'
_space_group_IT_number 221
_space_group_name_Hall '-P 4 2 3'
loop_
_atom_site_label
_atom_site_fract_x
_atom_site_fract_y
_atom_site_fract_z
Ti1 0.0000 0.0000 0.0000
Ti2 0.0000 0.5000 0.5000
C1 0.0000 0.0000 0.5000
N1 0.5000 0.5000 0.5000
```

Results
Calculated total energy = -76.1 eV per cell
Density of states at the Fermi level = 2.2 states/eV/f.u.
Crystal system = cubic



This record from Alexandria describes an optimized crystal structure of Tm3Co6Si2. The functional is PBE.

```
data_Tm3Co6Si2
_chemical_formula_sum 'Tm12 Co24 Si8'
_cell_length_a 8.6494
_cell_length_b 8.6494
_cell_length_c 8.6494
_cell_angle_alpha 90.00
_cell_angle_beta 90.00
_cell_angle_gamma 90.00
_space_group_name_H-M_alt 'I m -3 m'
_space_group_IT_number 229
_space_group_name_Hall '-I 4 2 3'
loop_
_atom_site_label
_atom_site_fract_x
_atom_site_fract_y
_atom_site_fract_z
Tm1 0.0000 0.0000 0.2854
Co1 0.0000 0.3359 0.3359
Si1 0.2500 0.2500 0.2500
```

Results
Calculated total energy = -289.6 eV per cell
Density of states at the Fermi level = 12.2 states/eV/f.u.
Crystal system = cubic



This record from Alexandria describes an optimized crystal structure of Cr2TeW. The functional is PBE.

```
data_Cr2TeW
_chemical_formula_sum 'Cr4 Te2 W2'
_cell_length_a 5.5648
_cell_length_b 8.4111
_cell_length_c 2.9369
_cell_angle_alpha 90.00
_cell_angle_beta 113.23
_cell_angle_gamma 90.00
_space_group_name_H-M_alt 'C 1 2/m 1'
_space_group_IT_number 12
_space_group_name_Hall '-C 2y'
loop_
_atom_site_label
_atom_site_fract_x
_atom_site_fract_y
_atom_site_fract_z
Cr1 0.2500 0.2500 0.0000
Te1 0.0000 0.0000 0.5000
W1 0.0000 0.5000 0.5000
```

Results
Calculated total energy = -64.5 eV per cell
Density of states at the Fermi level = 4.6 states/eV/f.u.
Crystal system = monoclinic



This record from Alexandria describes an optimized crystal structure of Zn4CuSn. The functional is PBE.

```
data_Zn4CuSn
_chemical_formula_sum 'Zn16 Cu4 Sn4'
_cell_length_a 7.3946
_cell_length_b 7.3946
_cell_length_c 7.3946
_cell_angle_alpha 90.00
_cell_angle_beta 90.00
_cell_angle_gamma 90.00
_space_group_name_H-M_alt 'F -4 3 m'
_space_group_IT_number 216
_space_group_name_Hall 'F -4 2 3'
loop_
_atom_site_label
_atom_site_fract_x
_atom_site_fract_y
_atom_site_fract_z
Zn1 0.1239 0.1239 0.3761
Cu1 0.2500 0.2500 0.7500
Sn1 0.0000 0.0000 0.0000
```

Results
Energy of formation = 143 meV per atom
Calculated total energy = -49.3 eV per cell
Density of states at the Fermi level = 1.5 states/eV/f.u.
Crystal system = cubic